Entry from Alexandria: an optimized crystal structure of La2NiSnO6 (GGA+U).

```
data_La2NiSnO6
_symmetry_space_group_name_H-M 'P 1 21/c 1'
_symmetry_Int_Tables_number 14
_symmetry_space_group_name_Hall '-P 2ybc'
_cell_length_a 5.659
_cell_length_b 5.806
_cell_length_c 9.837
_cell_angle_alpha 90.00
_cell_angle_beta 124.74
_cell_angle_gamma 90.00
loop_
_atom_site_label
_atom_site_type_symbol
_atom_site_fract_x
_atom_site_fract_y
_atom_site_fract_z
_atom_site_occupancy
La1 La 0.236 0.050 0.249 1
Ni1 Ni 0.000 0.000 0.500 1
Sn1 Sn 0.500 0.000 0.000 1
O1 O 0.153 0.202 0.949 1
O2 O 0.246 0.706 0.947 1
O3 O 0.350 0.032 0.751 1
```

Properties
Density (Mg/m³): 6.89
E (eV/f.u.): -70.91